First-principles (GGA+U) data for Li3CoO6 after structural relaxation, as listed in the Alexandria database.

Lattice parameters (Å, degrees): 7.236 7.236 7.001 90.00 90.00 110.29
Last column: magnetic moment on the atom in μB.
Sites, in units of the cell vectors:
Li1 0.500 0.000 0.000  0.00
O1 0.936 0.236 0.000  0.03
O2 0.064 0.764 0.000  0.03
Li2 0.000 0.500 0.000  0.00
Co1 0.000 0.000 0.000  -1.04
Li3 0.000 0.000 0.500  0.00
O3 0.000 0.000 0.755  -0.45
O4 0.236 0.936 0.000  0.03
O5 0.000 0.000 0.245  -0.45
O6 0.764 0.064 0.000  0.03

- E: -4.684 eV per atom